No. 1
First-principles (PBE) data for an optimized crystal structure of CrAsIr2, as listed in Alexandria via LeMat-Bulk.

It has space group P4/mmm (No. 123), with a = 2.814 Å, b = 2.814 Å, c = 7.273 Å, α = 90.00°, β = 90.00° and γ = 90.00°. The distinct sites, in fractional coordinates, are Cr at (0.000, 0.000, 0.000), As at (0.000, 0.000, 0.500) and Ir at (0.500, 0.500, 0.232).

As for the energy of formation from the pure elements: 57 meV per atom. As for the spin magnetization: 0.13 μB/cell.



No. 2
First-principles (PBE) data for an optimized crystal structure of CrAsIr, as listed in Alexandria via LeMat-Bulk.

It has space group Imm2 (No. 44), with a = 2.900 Å, b = 4.000 Å, c = 7.559 Å, α = 90.00°, β = 90.00° and γ = 90.00°. The distinct sites, in fractional coordinates, are Cr at (0.000, 0.000, 0.000), As at (0.000, 0.000, 0.321) and Ir at (0.000, 0.000, 0.649).

As for the energy of formation from the pure elements: 156 meV per atom. As for the spin magnetization: 4.02 μB/cell.



No. 3
First-principles (PBE) data for an optimized crystal structure of CrAsIr2, as listed in Alexandria via LeMat-Bulk.

It has space group Cmmm (No. 65), with a = 2.787 Å, b = 4.761 Å, c = 9.113 Å, α = 90.00°, β = 90.00° and γ = 90.00°. The distinct sites, in fractional coordinates, are Cr at (0.000, 0.000, 0.000), As at (0.000, 0.000, 0.500) and Ir at (0.000, 0.500, 0.230).

As for the energy of formation from the pure elements: 301 meV per atom. As for the spin magnetization: 3.97 μB/cell.



No. 4
First-principles (PBE) data for an optimized crystal structure of CrAsIr, as listed in Alexandria via LeMat-Bulk.

It has space group P-6m2 (No. 187), with a = 4.2169 Å, b = 4.2169 Å, c = 2.9314 Å, α = 90.00°, β = 90.00° and γ = 120.00°. The distinct sites, in fractional coordinates, are Cr at (0.0000, 0.0000, 0.0000), As at (0.3333, 0.6667, 0.5000) and Ir at (0.6667, 0.3333, 0.5000).

As for the energy of formation from the pure elements: -9 meV per atom. As for the spin magnetization: 2.88 μB/cell.



No. 5
First-principles (PBE) data for an optimized crystal structure of CrAs4Ir, as listed in Alexandria via LeMat-Bulk.

It has space group F-43m (No. 216), with a = 7.601 Å, b = 7.601 Å, c = 7.601 Å, α = 90.00°, β = 90.00° and γ = 90.00°. The distinct sites, in fractional coordinates, are Cr at (0.000, 0.000, 0.000), As at (0.125, 0.125, 0.375) and Ir at (0.250, 0.250, 0.750).

As for the energy of formation from the pure elements: 826 meV per atom. As for the spin magnetization: 12.26 μB/cell.



No. 6
First-principles (PBE) data for an optimized crystal structure of CrAsIr2, as listed in Alexandria via LeMat-Bulk.

It has space group Pmmm (No. 47), with a = 2.800 Å, b = 4.533 Å, c = 4.622 Å, α = 90.00°, β = 90.00° and γ = 90.00°. The distinct sites, in fractional coordinates, are Cr at (0.000, 0.000, 0.000), As at (0.500, 0.000, 0.500), Ir at (0.000, 0.500, 0.500) and Ir at (0.500, 0.500, 0.000).

As for the energy of formation from the pure elements: 169 meV per atom. As for the spin magnetization: 1.96 μB/cell.